{"formula": "La2TbPrHg2", "functional": "PBE", "state": "optimized geometry", "lattice_angstrom": [[5.229, 0.000, 0.000], [0.000, 7.359, 0.000], [0.000, 0.000, 9.713]], "species": ["La", "La", "La", "La", "Tb", "Tb", "Pr", "Pr", "Hg", "Hg", "Hg", "Hg"], "fractional_positions": [[0.500, 0.020, 0.058], [0.000, 0.335, 0.170], [0.500, 0.520, 0.942], [0.000, 0.835, 0.830], [0.500, 0.175, 0.674], [0.500, 0.675, 0.326], [0.000, 0.995, 0.442], [0.000, 0.495, 0.558], [0.000, 0.267, 0.842], [0.500, 0.254, 0.363], [0.000, 0.767, 0.158], [0.500, 0.754, 0.637]], "m_tot_mub_per_atom": 0.00, "e_tot_ev_per_cell": -43.76, "formation_energy_mev_per_atom": -335}

=====

{"formula": "LiTmBe17", "functional": "PBE", "state": "optimized geometry", "lattice_angstrom": [[-2.004, 0.181, -5.343], [-2.992, -4.858, 0.209], [-5.058, 2.345, 1.228]], "species": ["Li", "Tm", "Be", "Be", "Be", "Be", "Be", "Be", "Be", "Be", "Be", "Be", "Be", "Be", "Be", "Be", "Be", "Be", "Be"], "fractional_positions": [[0.340, 0.340, 0.340], [0.658, 0.658, 0.658], [0.286, 0.003, 0.711], [0.711, 0.286, 0.003], [0.003, 0.711, 0.286], [0.286, 0.711, 0.003], [0.003, 0.286, 0.711], [0.711, 0.003, 0.286], [0.339, 0.855, 0.339], [0.339, 0.339, 0.855], [0.855, 0.339, 0.339], [0.660, 0.159, 0.660], [0.660, 0.660, 0.159], [0.159, 0.660, 0.660], [0.992, 0.505, 0.992], [0.992, 0.992, 0.505], [0.505, 0.992, 0.992], [0.903, 0.903, 0.903], [0.097, 0.097, 0.097]], "m_tot_mub_per_atom": 0.00, "e_tot_ev_per_cell": -70.61, "formation_energy_mev_per_atom": -46}

=====

{"formula": "SrTlInAu", "functional": "PBE", "state": "optimized geometry", "lattice_angstrom": [[5.315, 0.000, 0.000], [2.658, 4.603, 0.000], [2.658, 1.534, 4.340]], "species": ["Sr", "Tl", "Au", "In"], "fractional_positions": [[0.750, 0.750, 0.750], [0.500, 0.500, 0.500], [0.000, 0.000, 0.000], [0.250, 0.250, 0.250]], "m_tot_mub_per_atom": 0.00, "e_tot_ev_per_cell": -11.57, "formation_energy_mev_per_atom": -377}

=====

{"formula": "CsMgAsBr2", "functional": "PBE", "state": "optimized geometry", "lattice_angstrom": [[-1.790, -0.615, 6.399], [-1.718, -6.354, -1.091], [5.699, -1.785, 1.422]], "species": ["Cs", "As", "Mg", "Br", "Br"], "fractional_positions": [[0.000, 0.000, 0.000], [0.000, 0.000, 0.500], [0.500, 0.500, 0.500], [0.000, 0.500, 0.000], [0.500, 0.000, 0.000]], "e_form_raw_kj_per_mol_atoms": 28.0, "m_tot_mub_per_atom": 0.20, "e_tot_ev_per_cell": -8.99, "e_above_lowest_polymorph_ev_per_atom": 1.150}